(1)
DFT (PBE) results for NaRe2As2 after structural relaxation.

Computed properties:
E   -34.286 eV for the cell shown
Space-group type   No. 139

a b c (Å): 5.5558 5.5558 5.5558
angles (deg): 130.18 130.18 73.13
Element x y z (fractional)
Na  0.0000  0.0000  0.0000
Re  0.3723  0.3723  0.0000
Re  0.6277  0.6277  0.0000
As  0.2500  0.7500  0.5000
As  0.7500  0.2500  0.5000

=====

(2)
DFT (PBE) results for Zr2BeGe after structural relaxation.

Computed properties:
E   -51.234 eV for the cell shown
Space-group type   No. 122

a b c (Å): 5.8456 5.8456 5.8456
angles (deg): 104.28 104.28 120.44
Element x y z (fractional)
Zr  0.1140  0.6250  0.9890
Zr  0.3750  0.3640  0.4890
Zr  0.6360  0.1250  0.0110
Zr  0.8750  0.8860  0.5110
Be  0.0000  0.0000  0.0000
Be  0.7500  0.2500  0.5000
Ge  0.2500  0.7500  0.5000
Ge  0.5000  0.5000  0.0000

=====

(3)
DFT (PBE) results for InB3Ir after structural relaxation.

Computed properties:
E   -27.056 eV for the cell shown
Space-group type   No. 221
Polymorph energy (0 for the lowest one)   0.000 eV/atom

a b c (Å): 4.2129 4.2129 4.2129
angles (deg): 90.00 90.00 90.00
Element x y z (fractional)
In  0.0000  0.0000  0.0000
B  0.0000  0.5000  0.5000
B  0.5000  0.0000  0.5000
B  0.5000  0.5000  0.0000
Ir  0.5000  0.5000  0.5000

=====

(4)
DFT (PBE) results for Sr4CoBr after structural relaxation.

Computed properties:
E   -11.858 eV for the cell shown
Formation energy (no corrections)   0.61 eV per atom
Space-group type   No. 216

a b c (Å): 7.3442 7.3442 7.3442
angles (deg): 60.00 60.00 60.00
Element x y z (fractional)
Sr  0.3759  0.3759  0.3759
Sr  0.3759  0.3759  0.8723
Sr  0.3759  0.8723  0.3759
Sr  0.8723  0.3759  0.3759
Co  0.7500  0.7500  0.7500
Br  0.0000  0.0000  0.0000

=====

What is the E in the fourth record? -11.858 eV for the cell shown

=====

What is the E in the second record? -51.234 eV for the cell shown